No. 1
The following is a DFT calculation (PBE) of an optimized crystal structure of KAlSn.

Unit cell a=6.457 b=8.337 c=8.095 alpha=90.00 beta=127.97 gamma=90.00
Space group P2_1/c (No. 14)
Symmetry-distinct sites (fractional):
K 0.205 0.210 0.107
Al 0.275 0.581 0.950
Sn 0.253 0.587 0.311

Values from the calculation:
Formation energy from the elements ... -0.034 eV/atom

No. 2
The following is a DFT calculation (PBE) of an optimized crystal structure of KAlSn.

Unit cell a=6.890 b=6.933 c=8.112 alpha=105.19 beta=96.20 gamma=99.07
Space group P-1 (No. 2)
Symmetry-distinct sites (fractional):
K 0.023 0.352 0.296
K 0.298 0.874 0.120
Al 0.204 0.059 0.577
Al 0.490 0.532 0.782
Sn 0.216 0.305 0.913
Sn 0.452 0.745 0.526

Values from the calculation:
Formation energy from the elements ... -0.059 eV/atom